DFT (PBE) results for a relaxed Tm4GeSb2Te crystal.

* space-group type: No. 10
* energy relative to the elements, uncorrected: -1.0703 eV/atom
* DOS at the Fermi energy: 1.51 states/eV/cell
* total moment: 0.0 μB/cell
* crystal system: monoclinic

Lattice parameters (Å, degrees): 4.262 7.426 7.406 109.22 90.00 90.00
Positions (direct):
Tm 0.500 0.266 0.247
Tm 0.500 0.734 0.753
Tm 0.000 0.267 0.762
Tm 0.000 0.733 0.238
Ge 0.500 0.500 0.000
Sb 0.500 0.000 0.500
Sb 0.000 0.500 0.500
Te 0.000 0.000 0.000